DFT (PBE) results for a relaxed LiSi2Pb crystal.

crystal system = cubic
E = -3.7602 eV per atom
uncorrected formation energy = 0.357 eV/atom

a = 4.8021 Å, b = 4.8021 Å, c = 4.8021 Å
α = 60.00°, β = 60.00°, γ = 60.00°
Fractional coordinates of all 4 atoms:
Pb 0.2500 0.2500 0.2500
Si 0.0000 0.0000 0.0000
Li 0.5000 0.5000 0.5000
Si 0.7500 0.7500 0.7500



DFT (PBE) results for a relaxed LiSi2Pb crystal.

crystal system = orthorhombic
E = -3.9439 eV per atom
uncorrected formation energy = 0.173 eV/atom

a = 3.3770 Å, b = 3.4282 Å, c = 6.8964 Å
α = 90.00°, β = 90.00°, γ = 90.00°
Fractional coordinates of all 4 atoms:
Si 0.0000 0.0000 0.0764
Li 0.0000 0.0000 0.4498
Si 0.5000 0.5000 0.2091
Pb 0.5000 0.5000 0.7648



DFT (PBE) results for a relaxed LiSi2Pb crystal.

crystal system = tetragonal
E = -3.8497 eV per atom
uncorrected formation energy = 0.267 eV/atom

a = 5.6675 Å, b = 5.6675 Å, c = 5.6675 Å
α = 139.52°, β = 139.52°, γ = 58.59°
Fractional coordinates of all 4 atoms:
Li 0.2500 0.7500 0.5000
Si 0.5000 0.5000 0.0000
Pb 0.7500 0.2500 0.5000
Si 0.0000 0.0000 0.0000



DFT (PBE) results for a relaxed LiSi2Pb crystal.

crystal system = monoclinic
E = -3.9558 eV per atom
uncorrected formation energy = 0.161 eV/atom

a = 3.8185 Å, b = 3.0375 Å, c = 6.9698 Å
α = 89.81°, β = 90.00°, γ = 90.00°
Fractional coordinates of all 4 atoms:
Pb 0.5000 0.9975 0.7243
Si 0.0000 0.0021 0.0714
Li 0.0000 0.4994 0.4265
Si 0.5000 0.0010 0.2778



DFT (PBE) results for a relaxed LiSi2Pb crystal.

crystal system = tetragonal
E = -3.8691 eV per atom
uncorrected formation energy = 0.248 eV/atom

a = 3.9217 Å, b = 3.9187 Å, c = 4.9466 Å
α = 90.00°, β = 90.00°, γ = 90.00°
Fractional coordinates of all 4 atoms:
Si 0.5000 0.5000 0.0000
Pb 0.0000 0.5000 0.5000
Si 0.0000 0.0000 0.0000
Li 0.5000 0.0000 0.5000



DFT (PBE) results for a relaxed LiSiPb3 crystal.

crystal system = cubic
E = -3.2197 eV per atom
uncorrected formation energy = 0.473 eV/atom
distance to the lowest polymorph of the same formula = 59 meV/atom

a = 5.1324 Å, b = 5.1324 Å, c = 5.1324 Å
α = 90.00°, β = 90.00°, γ = 90.00°
Fractional coordinates of all 5 atoms:
Pb 0.5000 0.0000 0.0000
Pb 0.0000 0.5000 0.0000
Pb 0.0000 0.0000 0.5000
Si 0.5000 0.5000 0.5000
Li 0.0000 0.0000 0.0000